# Rb2HoAsS4 (PBE-GGA, relaxed)
data_Rb2HoAsS4
_cell_length_a 14.145
_cell_length_b 12.613
_cell_length_c 7.943
_cell_angle_alpha 83.67
_cell_angle_beta 62.41
_cell_angle_gamma 33.93
_symmetry_space_group_name_H-M 'P 1'
_symmetry_Int_Tables_number 1
loop_
_symmetry_equiv_pos_as_xyz
'x,y,z'
loop_
_atom_site_label
_atom_site_fract_x
_atom_site_fract_y
_atom_site_fract_z
Rb1 0.058 0.058 0.692
Rb2 0.308 0.308 0.942
Rb3 0.692 0.692 0.058
Rb4 0.942 0.942 0.308
Ho1 0.125 0.125 0.125
Ho2 0.875 0.875 0.875
As1 0.375 0.375 0.375
As2 0.625 0.625 0.625
S1 0.017 0.336 0.430
S2 0.283 0.570 0.664
S3 0.336 0.017 0.717
S4 0.430 0.717 0.017
S5 0.570 0.283 0.983
S6 0.664 0.983 0.283
S7 0.717 0.430 0.336
S8 0.983 0.664 0.570
# **Theoretical density**: 3.07 g/cm³
# **SG**: Fddd, No. 70
# **E_tot**: -71.43 eV for the cell shown
# **V**: 36.47 A^3/atom